# 1
Tm4SnSb2As after structural relaxation, computed with PBE-GGA.

Cell lengths 4.2195, 7.5590, 7.2990 Å; angles 108.88, 90.00, 90.00 degrees
Fractional coordinates of all 8 atoms:
As: 0.0000 0.0000 0.0000
Sn: 0.5000 0.5000 0.0000
Tm: 0.0000 0.2396 0.7560
Tm: 0.5000 0.2351 0.2359
Tm: 0.5000 0.7649 0.7641
Sb: 0.5000 0.0000 0.5000
Tm: 0.0000 0.7604 0.2440
Sb: 0.0000 0.5000 0.5000

The theoretical density is 8.39 Mg/m³. Its formation energy (no corrections) is -0.9947 eV/atom. As for the density of states at the Fermi level: 3.1 states/eV per cell.

# 2
LaRuI after structural relaxation, computed with PBE-GGA.

Cell lengths 4.3190, 4.3190, 12.6208 Å; angles 80.15, 80.15, 60.00 degrees
Fractional coordinates of all 6 atoms:
Ru: 0.1650 0.1650 0.5051
La: 0.4449 0.4449 0.6653
La: 0.5551 0.5551 0.3347
I: 0.7190 0.7190 0.8430
Ru: 0.8350 0.8350 0.4949
I: 0.2810 0.2810 0.1570

The theoretical density is 6.10 Mg/m³. Its formation energy (no corrections) is -0.7986 eV/atom. As for the density of states at the Fermi level: 4.3 states/eV per cell.

# 3
Ti2Nb4In3 after structural relaxation, computed with PBE-GGA.

Cell lengths 3.5191, 7.3066, 7.2486 Å; angles 107.62, 104.05, 90.00 degrees
Fractional coordinates of all 9 atoms:
Nb: 0.7917 0.6609 0.5835
Ti: 0.3275 0.9816 0.6550
In: 0.8738 0.3146 0.7476
Nb: 0.4473 0.6546 0.8946
In: 0.1262 0.6854 0.2524
Nb: 0.5527 0.3454 0.1054
In: 0.0000 0.0000 0.0000
Ti: 0.6725 0.0184 0.3450
Nb: 0.2083 0.3391 0.4165

The theoretical density is 7.85 Mg/m³. As for the density of states at the Fermi level: 8.6 states/eV per cell. The value obtained for the formation energy is -0.040 eV per atom.

# 4
CrSb2W after structural relaxation, computed with PBE-GGA.

Cell lengths 8.5878, 8.5878, 8.5878 Å; angles 22.70, 22.70, 22.70 degrees
Each line ends with the local moment (μB).
Fractional coordinates of all 4 atoms:
Cr: 0.7500 0.7500 0.7500  3.74
Sb: 0.5041 0.5041 0.5041  -0.02
W: 0.2500 0.2500 0.2500  0.25
Sb: 0.9959 0.9959 0.9959  -0.02

The theoretical density is 9.62 Mg/m³. Its formation energy (no corrections) is 0.5881 eV/atom. As for the density of states at the Fermi level: 2.4 states/eV per cell.

# 5
Cu2POsS after structural relaxation, computed with PBE-GGA.

Cell lengths 4.1913, 4.1913, 4.6276 Å; angles 90.00, 90.00, 90.00 degrees
Each line ends with the local moment (μB).
Fractional coordinates of all 5 atoms:
Os: 0.5000 0.5000 0.5000  1.60
P: 0.0000 0.0000 0.0000  0.03
Cu: 0.0000 0.5000 0.0000  0.04
Cu: 0.5000 0.0000 0.0000  0.04
S: 0.0000 0.0000 0.5000  0.01

The theoretical density is 7.77 Mg/m³. Its formation energy (no corrections) is 1.2058 eV/atom. As for the density of states at the Fermi level: 4.3 states/eV per cell.

# 6
Sm3Tm2Ga4 after structural relaxation, computed with PBE-GGA.

Cell lengths 4.4370, 5.9341, 9.5399 Å; angles 91.38, 90.00, 111.95 degrees
Fractional coordinates of all 9 atoms:
Sm: 0.0000 0.0000 0.0000
Sm: 0.3799 0.7597 0.6161
Ga: 0.3039 0.6077 0.9276
Sm: 0.6201 0.2403 0.3839
Ga: 0.6961 0.3923 0.0724
Ga: 0.9187 0.8375 0.3929
Tm: 0.6815 0.3630 0.7683
Tm: 0.3185 0.6370 0.2317
Ga: 0.0813 0.1625 0.6071

The theoretical density is 7.61 Mg/m³. As for the density of states at the Fermi level: 7.1 states/eV per cell. The value obtained for the formation energy is -0.470 eV per atom.

# 7
HgC2 after structural relaxation, computed with PBE-GGA.

Cell lengths 4.7669, 4.7669, 9.0600 Å; angles 90.00, 90.00, 120.00 degrees
Fractional coordinates of all 12 atoms:
C: 0.8999 0.1001 0.2500
C: 0.1001 0.8999 0.7500
Hg: 0.3333 0.6667 0.9182
Hg: 0.6667 0.3333 0.4182
C: 0.8999 0.7999 0.2500
C: 0.7999 0.8999 0.7500
C: 0.0000 0.0000 0.0000
Hg: 0.3333 0.6667 0.5818
C: 0.2001 0.1001 0.2500
C: 0.0000 0.0000 0.5000
Hg: 0.6667 0.3333 0.0818
C: 0.1001 0.2001 0.7500

The theoretical density is 8.37 Mg/m³. As for the density of states at the Fermi level: 7.6 states/eV per cell. The value obtained for the formation energy is 2.191 eV per atom.

# 8
GdZr3 after structural relaxation, computed with PBE-GGA.

Cell lengths 5.2626, 3.2935, 5.7921 Å; angles 90.00, 90.00, 90.00 degrees
Each line ends with the local moment (μB).
Fractional coordinates of all 4 atoms:
Zr: 0.0000 0.5000 0.4944  -0.07
Zr: 0.5000 0.5000 0.1861  -0.05
Gd: 0.0000 0.0000 0.9945  7.11
Zr: 0.5000 0.0000 0.6583  -0.04

The theoretical density is 7.13 Mg/m³. As for the density of states at the Fermi level: 4.0 states/eV per cell. The value obtained for the formation energy is 0.068 eV per atom.

# 9
TbCeYSe3 after structural relaxation, computed with PBE-GGA.

Cell lengths 4.0782, 7.9607, 10.2780 Å; angles 102.65, 90.00, 90.00 degrees
Each line ends with the local moment (μB).
Fractional coordinates of all 12 atoms:
Se: 0.7500 0.9155 0.1133  -0.01
Se: 0.2500 0.5234 0.8056  -0.01
Y: 0.7500 0.8279 0.3799  0.01
Tb: 0.2500 0.6681 0.0895  0.01
Tb: 0.7500 0.3319 0.9105  0.01
Se: 0.7500 0.4766 0.1944  -0.01
Y: 0.2500 0.1721 0.6201  0.01
Se: 0.2500 0.0845 0.8867  -0.01
Se: 0.7500 0.2046 0.4371  -0.01
Ce: 0.7500 0.8142 0.7907  0.91
Ce: 0.2500 0.1858 0.2093  0.91
Se: 0.2500 0.7954 0.5629  -0.01

The theoretical density is 6.37 Mg/m³. Its formation energy (no corrections) is -1.6181 eV/atom. As for the density of states at the Fermi level: 17.4 states/eV per cell.

# 10
Tb3Pd3Pt2 after structural relaxation, computed with PBE-GGA.

Cell lengths 5.3944, 8.4248, 8.4248 Å; angles 120.00, 90.00, 90.00 degrees
Fractional coordinates of all 16 atoms:
Tb: 0.7500 0.3782 0.3782
Pt: 0.0000 0.6667 0.3333
Pd: 0.7500 0.8044 0.8044
Tb: 0.2500 0.6218 0.6218
Tb: 0.7500 0.0000 0.6218
Tb: 0.2500 0.3782 0.0000
Pd: 0.2500 0.1956 0.1956
Pd: 0.2500 0.8044 0.0000
Tb: 0.2500 0.0000 0.3782
Pd: 0.7500 0.1956 0.0000
Pd: 0.7500 0.0000 0.1956
Pd: 0.2500 0.0000 0.8044
Tb: 0.7500 0.6218 0.0000
Pt: 0.5000 0.6667 0.3333
Pt: 0.0000 0.3333 0.6667
Pt: 0.5000 0.3333 0.6667

The theoretical density is 11.88 Mg/m³. As for the density of states at the Fermi level: 5.4 states/eV per cell. The value obtained for the formation energy is -0.844 eV per atom.

# 11
KBeCu2F8 after structural relaxation, computed with PBE-GGA.

Cell lengths 4.5289, 4.5284, 7.8298 Å; angles 87.75, 84.48, 83.55 degrees
Each line ends with the local moment (μB).
Fractional coordinates of all 12 atoms:
F: 0.1956 0.8264 0.1683  0.03
F: 0.2064 0.8014 0.8244  0.03
Cu: 0.5129 0.5314 0.1865  0.35
Be: 0.0000 0.0000 0.0000  0.01
F: 0.7404 0.7231 0.0157  0.03
F: 0.3269 0.3949 0.3836  0.06
K: 0.0000 0.0000 0.5000  0.00
F: 0.2596 0.2769 0.9843  0.03
F: 0.6731 0.6051 0.6164  0.06
F: 0.8044 0.1736 0.8317  0.03
F: 0.7936 0.1986 0.1756  0.03
Cu: 0.4871 0.4686 0.8135  0.35

The theoretical density is 3.42 Mg/m³. Its formation energy (no corrections) is -2.0216 eV/atom. As for the density of states at the Fermi level: 3.2 states/eV per cell.

# 12
PuZnSb after structural relaxation, computed with PBE-GGA.

Cell lengths 5.6543, 3.2749, 8.4770 Å; angles 101.14, 109.48, 90.00 degrees
Each line ends with the local moment (μB).
Fractional coordinates of all 6 atoms:
Pu: 0.6516 0.1516 0.3031  5.59
Sb: 0.8515 0.3515 0.7031  -0.04
Zn: 0.2726 0.5000 0.0000  0.02
Pu: 0.3484 0.8484 0.6969  5.59
Sb: 0.1485 0.6485 0.2969  -0.04
Zn: 0.7274 0.5000 0.0000  0.02

The theoretical density is 9.89 Mg/m³. Its formation energy (no corrections) is -0.2878 eV/atom. As for the density of states at the Fermi level: 17.6 states/eV per cell.

# 13
Pm2CuB10 after structural relaxation, computed with PBE-GGA.

Cell lengths 4.1880, 5.6853, 11.2312 Å; angles 90.00, 90.00, 90.00 degrees
Fractional coordinates of all 26 atoms:
B: 0.0000 0.8793 0.4574
B: 0.0000 0.1510 0.6978
B: 0.0000 0.1207 0.5426
B: 0.3010 0.7909 0.8834
Pm: 0.5000 0.3071 0.8629
B: 0.0000 0.3793 0.0426
B: 0.6990 0.7091 0.3834
B: 0.0000 0.8490 0.3022
Pm: 0.5000 0.8071 0.6371
Pm: 0.5000 0.1929 0.3629
B: 0.0000 0.6510 0.8022
B: 0.6990 0.2091 0.1166
Cu: 0.0000 0.5000 0.5000
Cu: 0.0000 0.0000 0.0000
B: 0.0000 0.5413 0.3100
B: 0.0000 0.9587 0.8100
B: 0.0000 0.0413 0.1900
Pm: 0.5000 0.6929 0.1371
B: 0.0000 0.6207 0.9574
B: 0.6990 0.7909 0.8834
B: 0.6990 0.2909 0.6166
B: 0.3010 0.2091 0.1166
B: 0.0000 0.3490 0.1978
B: 0.3010 0.2909 0.6166
B: 0.3010 0.7091 0.3834
B: 0.0000 0.4587 0.6900

The theoretical density is 5.73 Mg/m³. As for the density of states at the Fermi level: 2.5 states/eV per cell. The value obtained for the formation energy is -0.439 eV per atom.

# 14
UInMo after structural relaxation, computed with PBE-GGA.

Cell lengths 3.1541, 3.1541, 6.6466 Å; angles 103.73, 103.73, 90.00 degrees
Each line ends with the local moment (μB).
Fractional coordinates of all 3 atoms:
U: 0.3114 0.3114 0.6228  0.49
In: 0.0168 0.0168 0.0336  0.00
Mo: 0.6718 0.6718 0.3435  -0.11

The theoretical density is 11.96 Mg/m³. As for the density of states at the Fermi level: 4.7 states/eV per cell. The value obtained for the formation energy is 0.317 eV per atom.

# 15
BeAgPt2 after structural relaxation, computed with PBE-GGA.

Cell lengths 4.6245, 4.6245, 4.6245 Å; angles 128.72, 128.72, 75.46 degrees
Fractional coordinates of all 4 atoms:
Pt: 0.5000 0.5000 0.0000
Pt: 0.0000 0.0000 0.0000
Ag: 0.2500 0.7500 0.5000
Be: 0.7500 0.2500 0.5000

The theoretical density is 14.37 Mg/m³. As for the density of states at the Fermi level: 1.5 states/eV per cell. The value obtained for the formation energy is -0.095 eV per atom.

# 16
HfZn3Au3 after structural relaxation, computed with PBE-GGA.

Cell lengths 6.8303, 6.8303, 7.3591 Å; angles 62.35, 62.35, 60.00 degrees
Fractional coordinates of all 14 atoms:
Zn: 0.0941 0.5512 0.6214
Hf: 0.3397 0.3397 0.9809
Au: 0.0730 0.8099 0.8087
Au: 0.8099 0.3084 0.8087
Au: 0.1901 0.6916 0.1913
Au: 0.6916 0.9270 0.1913
Zn: 0.4488 0.2667 0.3786
Zn: 0.7333 0.0941 0.6214
Au: 0.3084 0.0730 0.8087
Hf: 0.6603 0.6603 0.0191
Zn: 0.9059 0.4488 0.3786
Au: 0.9270 0.1901 0.1913
Zn: 0.2667 0.9059 0.3786
Zn: 0.5512 0.7333 0.6214

The theoretical density is 12.77 Mg/m³. As for the density of states at the Fermi level: 3.0 states/eV per cell. The value obtained for the formation energy is -0.245 eV per atom.

# 17
Zn3Ag2Au5 after structural relaxation, computed with PBE-GGA.

Cell lengths 5.4331, 8.8008, 8.8008 Å; angles 93.71, 72.02, 72.02 degrees
Fractional coordinates of all 20 atoms:
Zn: 0.1311 0.2238 0.5140
Au: 0.4909 0.7591 0.7591
Ag: 0.1429 0.5947 0.1195
Ag: 0.3571 0.8805 0.4053
Au: 0.0974 0.0641 0.7411
Zn: 0.8689 0.7762 0.4860
Au: 0.0091 0.2409 0.2409
Zn: 0.7500 0.0000 0.0000
Au: 0.9909 0.7591 0.7591
Au: 0.9026 0.9359 0.2589
Zn: 0.2500 0.0000 0.0000
Au: 0.2500 0.5000 0.5000
Ag: 0.6429 0.1195 0.5947
Au: 0.5091 0.2409 0.2409
Ag: 0.8571 0.4053 0.8805
Au: 0.5974 0.7411 0.0641
Au: 0.7500 0.5000 0.5000
Au: 0.4026 0.2589 0.9359
Zn: 0.3689 0.4860 0.7762
Zn: 0.6311 0.5140 0.2238

The theoretical density is 12.38 Mg/m³. As for the density of states at the Fermi level: 6.6 states/eV per cell. The value obtained for the formation energy is -0.027 eV per atom.

# 18
K3Rh after structural relaxation, computed with PBE-GGA.

Cell lengths 4.0187, 4.0187, 12.6804 Å; angles 90.00, 90.00, 120.00 degrees
Each line ends with the local moment (μB).
Fractional coordinates of all 4 atoms:
Rh: 0.6667 0.3333 0.7500  0.45
K: 0.0000 0.0000 0.9192  -0.01
K: 0.6667 0.3333 0.2500  0.00
K: 0.0000 0.0000 0.5808  -0.01

The theoretical density is 2.06 Mg/m³. As for the density of states at the Fermi level: 5.1 states/eV per cell. The value obtained for the formation energy is 0.644 eV per atom.

# 19
Pr5AlGa2 after structural relaxation, computed with PBE-GGA.

Cell lengths 7.9496, 7.9496, 9.3198 Å; angles 115.25, 115.25, 90.00 degrees
Fractional coordinates of all 16 atoms:
Ga: 0.8839 0.6161 0.0000
Pr: 0.6769 0.1769 0.7033
Pr: 0.0264 0.5264 0.7033
Ga: 0.3839 0.8839 0.0000
Al: 0.7500 0.7500 0.5000
Pr: 0.5264 0.6769 0.7033
Pr: 0.8231 0.9736 0.2967
Pr: 0.1769 0.0264 0.7033
Pr: 0.3231 0.8231 0.2967
Pr: 0.4736 0.3231 0.2967
Ga: 0.6161 0.1161 0.0000
Pr: 0.9736 0.4736 0.2967
Pr: 0.0000 0.0000 0.0000
Pr: 0.5000 0.5000 0.0000
Al: 0.2500 0.2500 0.5000
Ga: 0.1161 0.3839 0.0000

The theoretical density is 6.16 Mg/m³. As for the density of states at the Fermi level: 15.8 states/eV per cell. The value obtained for the formation energy is -0.375 eV per atom.

# 20
MoC2Se after structural relaxation, computed with PBE-GGA.

Cell lengths 4.9112, 4.9112, 5.9233 Å; angles 65.51, 65.51, 90.00 degrees
Fractional coordinates of all 8 atoms:
Mo: 0.7500 0.2500 0.5000
C: 0.0911 0.6250 0.2500
C: 0.3750 0.3411 0.7500
C: 0.6589 0.1250 0.2500
Se: 0.2500 0.7500 0.5000
Se: 0.5000 0.5000 0.0000
C: 0.8750 0.9089 0.7500
Mo: 0.0000 0.0000 0.0000

The theoretical density is 5.71 Mg/m³. Its formation energy (no corrections) is 1.2437 eV/atom. As for the density of states at the Fermi level: 5.5 states/eV per cell.